CdCoSO, relaxed, DFT PBE with a Hubbard U; E above lowest polymorph = 353 meV/atom; ρ = 5.8 Mg/m³
1.0
5.8057 0.0000 0.0000
0.0000 7.6815 0.0000
0.0000 0.0000 5.6415
Cd Co S O
4 4 4 4
Direct
0.1122 0.1551 0.0000 Cd
0.3878 0.1551 0.5000 Cd
0.6122 0.8449 0.0000 Cd
0.8878 0.8449 0.5000 Cd
0.1776 0.5637 0.1675 Co
0.3224 0.5637 0.6675 Co
0.6776 0.4363 0.1675 Co
0.8224 0.4363 0.6675 Co
0.0696 0.8294 0.9244 S
0.4304 0.8294 0.4244 S
0.5696 0.1706 0.9244 S
0.9304 0.1706 0.4244 S
0.0988 0.4302 0.8749 O
0.4012 0.4302 0.3749 O
0.5988 0.5698 0.8749 O
0.9012 0.5698 0.3749 O

---

CdCoSO, relaxed, DFT PBE with a Hubbard U; E above lowest polymorph = 257 meV/atom; ρ = 5.1 Mg/m³
1.0
5.7978 0.0000 0.0000
0.0000 6.7950 0.0000
0.0000 0.0000 7.2306
Cd Co S O
4 4 4 4
Direct
0.0202 0.1288 0.1291 Cd
0.4798 0.8712 0.6291 Cd
0.5202 0.3712 0.8709 Cd
0.9798 0.6288 0.3709 Cd
0.0999 0.6997 0.9024 Co
0.4001 0.3003 0.4024 Co
0.5999 0.8003 0.0976 Co
0.9001 0.1997 0.5976 Co
0.0091 0.8729 0.6341 S
0.4909 0.1271 0.1341 S
0.5091 0.6271 0.3659 S
0.9909 0.3729 0.8659 S
0.0586 0.3113 0.3874 O
0.4414 0.6887 0.8874 O
0.5586 0.1887 0.6126 O
0.9414 0.8113 0.1126 O

---

CdCoSO, relaxed, DFT PBE with a Hubbard U; E above lowest polymorph = 385 meV/atom; ρ = 5.4 Mg/m³
1.0
6.0700 0.0000 0.0000
0.0000 3.4077 0.0000
0.0000 0.0000 13.0804
Cd Co S O
4 4 4 4
Direct
0.1183 0.2500 0.1808 Cd
0.3817 0.7500 0.6808 Cd
0.6183 0.2500 0.3192 Cd
0.8817 0.7500 0.8192 Cd
0.1869 0.7500 0.4173 Co
0.3131 0.2500 0.9173 Co
0.6869 0.7500 0.0827 Co
0.8131 0.2500 0.5827 Co
0.2028 0.2500 0.5619 S
0.2972 0.7500 0.0619 S
0.7028 0.2500 0.9381 S
0.7972 0.7500 0.4381 S
0.2433 0.7500 0.8357 O
0.2567 0.2500 0.3357 O
0.7433 0.7500 0.6643 O
0.7567 0.2500 0.1643 O

---

CdCoSO, relaxed, DFT PBE with a Hubbard U; E above lowest polymorph = 965 meV/atom; ρ = 5.2 Mg/m³
1.0
3.6976 0.0000 0.0000
0.0000 3.6976 0.0000
0.0000 0.0000 10.1834
Cd Co S O
2 2 2 2
Direct
0.2500 0.2500 0.1155 Cd
0.7500 0.7500 0.8845 Cd
0.2500 0.2500 0.5889 Co
0.7500 0.7500 0.4111 Co
0.2500 0.2500 0.3612 S
0.7500 0.7500 0.6388 S
0.2500 0.7500 0.0000 O
0.7500 0.2500 0.0000 O